# 1
CaEuAlIn | PBE-GGA | optimized geometry

Results
Energy of formation from the pure elements (eV/atom): -0.340
Density (g/cm³): 4.9
Total energy (eV per formula unit): -20.1
Total moment (μB/f.u.): 7.1

a b c (Å): 5.4106 5.4106 5.4106
angles (deg): 60.00 60.00 60.00
With the nearest neighbours (Å) after each atom.
Sites, in units of the cell vectors:
In: 0.2500 0.2500 0.2500  4 Ca 3.31, 4 Eu 3.31
Eu: 0.0000 0.0000 0.0000  4 In 3.31, 4 Al 3.31
Al: 0.7500 0.7500 0.7500  4 Ca 3.31, 4 Eu 3.31
Ca: 0.5000 0.5000 0.5000  4 Al 3.31, 4 In 3.31



# 2
CeEr2Mn | PBE-GGA | optimized geometry

Results
Excess energy over the best structure of this formula in the dataset (kJ/mol of atoms): 34.9
Energy of formation from the pure elements (eV/atom): 0.508
Density (g/cm³): 8.3
Total energy (eV per formula unit): -22.2
Total moment (μB/f.u.): 3.5

a b c (Å): 3.3117 3.3117 11.3407
angles (deg): 81.60 81.60 60.00
With the nearest neighbours (Å) after each atom.
Sites, in units of the cell vectors:
Er: 0.0828 0.0828 0.7516  1 Mn 2.78
Er: 0.9172 0.9172 0.2484  1 Mn 2.78
Mn: 0.0000 0.0000 0.0000  2 Er 2.78
Ce: 0.5000 0.5000 0.5000  6 Ce 3.31, 6 Er 3.40



# 3
MnTePt2 | PBE-GGA | optimized geometry

Results
Formation energy (no corrections) (kJ/mol of atoms): 4.24
Density (g/cm³): 13.2
Total energy (eV per formula unit): -24.2
Total moment (μB/f.u.): 4.5

a b c (Å): 9.0360 9.0360 9.0360
angles (deg): 19.52 19.52 19.52
With the nearest neighbours (Å) after each atom.
Sites, in units of the cell vectors:
Pt: 0.0091 0.0091 0.0091  3 Mn 2.65
Pt: 0.4909 0.4909 0.4909  3 Mn 2.65
Te: 0.2500 0.2500 0.2500  6 Pt 3.03, 6 Te 3.06
Mn: 0.7500 0.7500 0.7500  6 Pt 2.65



# 4
Pr3Sm4Ho4 | PBE-GGA | optimized geometry

Results
Excess energy over the best structure of this formula in the dataset (kJ/mol of atoms): 0.0
Energy of formation from the pure elements (eV/atom): 0.018
Density (g/cm³): 7.6
Total energy (eV per formula unit): -51.3
Total moment (μB/f.u.): 0.0

a b c (Å): 3.6190 5.0975 20.1262
angles (deg): 97.26 95.18 90.04
With the nearest neighbours (Å) after each atom.
Sites, in units of the cell vectors:
Ho: 0.7279 0.7280 0.4560  5 Sm 3.53-3.60, 6 Ho 3.58-3.62, 1 Pr 3.62
Ho: 0.0914 0.0906 0.1825  5 Sm 3.60-3.66, 5 Pr 3.61-3.63, 2 Ho 3.62
Ho: 0.9086 0.9094 0.8175  5 Sm 3.60-3.66, 5 Pr 3.61-3.63, 2 Ho 3.62
Ho: 0.2720 0.2721 0.5440  5 Sm 3.53-3.60, 6 Ho 3.58-3.62, 1 Pr 3.62
Pr: 0.6368 0.6364 0.2739  5 Sm 3.61-3.63, 5 Ho 3.61-3.62, 2 Pr 3.62
Pr: 0.3632 0.3636 0.7261  5 Sm 3.61-3.63, 5 Ho 3.61-3.62, 2 Pr 3.62
Pr: 0.0000 0.0000 0.0000  2 Pr 3.62, 8 Sm 3.62-3.63, 2 Ho 3.63
Sm: 0.5465 0.5458 0.0925  4 Ho 3.60, 5 Pr 3.61-3.63, 3 Sm 3.62-3.68
Sm: 0.4535 0.4542 0.9075  4 Ho 3.60, 5 Pr 3.61-3.63, 3 Sm 3.62-3.68
Sm: 0.8170 0.8171 0.6336  6 Ho 3.53-3.66, 2 Sm 3.62, 4 Pr 3.63
Sm: 0.1829 0.1829 0.3664  6 Ho 3.53-3.66, 2 Sm 3.62, 4 Pr 3.63



# 5
DyAsPd | PBE-GGA | optimized geometry

Results
Energy of formation from the pure elements (eV/atom): -0.807
Density (g/cm³): 9.1
Total energy (eV per formula unit): -16.9
Total moment (μB/f.u.): 0.0

a b c (Å): 3.8934 3.8934 4.9857
angles (deg): 112.98 112.98 90.00
With the nearest neighbours (Å) after each atom.
Sites, in units of the cell vectors:
As: 0.9609 0.9609 0.9218  1 Pd 2.57, 1 Dy 2.84
Dy: 0.6189 0.6189 0.2377  5 As 2.84-3.05, 5 Pd 2.90-3.03
Pd: 0.2702 0.2702 0.5405  1 As 2.57



# 6
SrDyAgGe | PBE-GGA | optimized geometry

Results
Energy of formation from the pure elements (eV/atom): -0.440
Density (g/cm³): 6.9
Total energy (eV per formula unit): -15.5
Total moment (μB/f.u.): 0.0

a b c (Å): 5.2613 5.2613 5.2613
angles (deg): 60.00 60.00 60.00
With the nearest neighbours (Å) after each atom.
Sites, in units of the cell vectors:
Ge: 0.5000 0.5000 0.5000  4 Dy 3.22, 4 Sr 3.22
Sr: 0.2500 0.2500 0.2500  4 Ge 3.22, 4 Ag 3.22
Dy: 0.7500 0.7500 0.7500  4 Ge 3.22, 4 Ag 3.22
Ag: 0.0000 0.0000 0.0000  4 Dy 3.22, 4 Sr 3.22